1.
Ba2TlHgPt PBE relaxed; ΔE_f = -417 meV/atom; energy above the most stable polymorph in this dataset = 138.5 meV/atom
1.0
6.1114 0.0000 0.0000
0.0000 6.1114 0.0000
0.0000 0.0000 5.3035
Ba Tl Hg Pt
2 1 1 1
direct
0.0000 0.5000 0.0000
0.5000 0.0000 0.0000
0.0000 0.0000 0.5000
0.5000 0.5000 0.5000
0.5000 0.5000 0.0000



2.
KMo2Os PBE relaxed; ΔE_f = 845 meV/atom; energy above the most stable polymorph in this dataset = 70.4 meV/atom
1.0
2.8043 0.0000 0.0000
0.0000 2.8043 0.0000
0.0000 0.0000 9.8735
K Mo Os
1 2 1
direct
0.0000 0.0000 0.0000
0.0000 0.0000 0.5360
0.5000 0.5000 0.3254
0.5000 0.5000 0.7142



3.
BeAlPt2 PBE relaxed; ΔE_f = -601 meV/atom
1.0
1.4461 0.8349 7.5972
-1.4461 0.8349 7.5972
0.0000 -1.6698 7.5972
Be Al Pt
1 1 2
direct
0.0000 0.0000 0.0000
0.5000 0.5000 0.5000
0.2560 0.2560 0.2560
0.7440 0.7440 0.7440



4.
BaNa2Sr8 PBE relaxed; ΔE_f = 20 meV/atom; energy above the most stable polymorph in this dataset = 0.0 meV/atom
1.0
10.1519 -3.1646 0.0000
10.1519 3.1646 0.0000
-3.8957 0.0000 9.0257
Ba Na Sr
1 2 8
direct
0.0000 0.0000 0.0000
0.2740 0.2740 0.3516
0.7260 0.7260 0.6484
0.1005 0.1005 0.4714
0.1854 0.1854 0.9320
0.3502 0.3502 0.7864
0.4489 0.4489 0.2656
0.5511 0.5511 0.7344
0.6498 0.6498 0.2136
0.8146 0.8146 0.0680
0.8995 0.8995 0.5286



5.
B5C3 PBE relaxed; ΔE_f = 409 meV/atom; energy above the most stable polymorph in this dataset = 139.9 meV/atom
1.0
4.2491 -1.3437 0.0000
4.2491 1.3437 0.0000
-0.2707 0.0000 4.8525
B C
5 3
direct
0.0000 0.0000 0.0000
0.1785 0.1785 0.1970
0.2278 0.2278 0.8195
0.5027 0.5027 0.6128
0.9375 0.9375 0.3527
0.4169 0.4169 0.8914
0.6875 0.6875 0.6297
0.7493 0.7493 0.3503



6.
CeYTm PBE relaxed; ΔE_f = 66 meV/atom; energy above the most stable polymorph in this dataset = 0.0 meV/atom
1.0
3.5079 0.0000 0.0000
-1.7540 3.0379 0.0000
0.0000 0.0000 8.5992
Ce Y Tm
1 1 1
direct
0.0000 0.0000 0.0000
0.3333 0.6667 0.6651
0.6667 0.3333 0.3270



7.
RbSmCdI6 PBE relaxed; raw total energy = -52.362 eV for the cell shown
1.0
7.9332 0.0000 0.0000
-3.9666 6.8704 0.0000
0.0000 0.0000 16.3400
Rb Sm Cd I
2 2 2 12
direct
0.0000 0.0000 0.0000
0.0000 0.0000 0.5000
0.3333 0.6667 0.2500
0.6667 0.3333 0.7500
0.3333 0.6667 0.7500
0.6667 0.3333 0.2500
0.0059 0.3765 0.6406
0.0059 0.6295 0.8594
0.3705 0.3765 0.8594
0.3705 0.9941 0.6406
0.3765 0.0059 0.1406
0.3765 0.3705 0.3594
0.6235 0.6295 0.6406
0.6235 0.9941 0.8594
0.6295 0.0059 0.3594
0.6295 0.6235 0.1406
0.9941 0.3705 0.1406
0.9941 0.6235 0.3594



8.
Dy2Sb2S7 PBE relaxed; raw total energy = -55.450 eV for the cell shown
1.0
-1.9224 7.1544 4.4459
1.9224 -7.1544 4.4459
1.9224 7.1544 -4.4459
Dy Sb S
2 2 7
direct
0.0000 0.0000 0.0000
0.5289 0.0289 0.5000
0.4204 0.1643 0.2562
0.9081 0.1643 0.7438
0.1747 0.5395 0.6352
0.2321 0.9068 0.3253
0.3161 0.3161 0.0000
0.5815 0.9068 0.6747
0.6102 0.7137 0.8965
0.8172 0.7137 0.1035
0.9043 0.5395 0.3648



Question: Number 1 is which compound?
Answer: Ba2TlHgPt



What did the first record say?
Ba2TlHgPt PBE relaxed; ΔE_f = -417 meV/atom; energy above the most stable polymorph in this dataset = 138.5 meV/atom
1.0
6.1114 0.0000 0.0000
0.0000 6.1114 0.0000
0.0000 0.0000 5.3035
Ba Tl Hg Pt
2 1 1 1
direct
0.0000 0.5000 0.0000
0.5000 0.0000 0.0000
0.0000 0.0000 0.5000
0.5000 0.5000 0.5000
0.5000 0.5000 0.0000